No. 1
Compound: Al2Sn2Pt
Source: the Alexandria database
Functional: GGA-PBE
Structure: optimized geometry

It has space group P4/mbm (No. 127), with a = 6.972 Å, b = 6.972 Å, c = 4.619 Å, α = 90.00°, β = 90.00° and γ = 90.00°. The distinct sites, in fractional coordinates, are Al at (0.154, 0.346, 0.000), Sn at (0.151, 0.651, 0.500) and Pt at (0.000, 0.000, 0.500).

For the formation energy from the elements, the calculation gives 10 kJ per mole of atoms. The density of states at the Fermi level is 3.7 states/eV per cell. As for the energy relative to the lowest polymorph listed for this composition: 263.2 meV/atom. The calculation puts the total moment at 0.00 μB per formula unit. The calculation puts the total energy at -4.21 eV per atom.

=====

No. 2
Compound: Al2SnPt
Source: the Alexandria database
Functional: GGA-PBE
Structure: optimized geometry

It has space group I-42d (No. 122), with a = 4.356 Å, b = 4.356 Å, c = 17.036 Å, α = 90.00°, β = 90.00° and γ = 90.00°. The distinct sites, in fractional coordinates, are Al at (0.190, 0.250, 0.125), Sn at (0.000, 0.000, 0.500) and Pt at (0.000, 0.000, 0.000).

For the formation energy from the elements, the calculation gives -25 kJ per mole of atoms. The density of states at the Fermi level is 5.1 states/eV per cell. The calculation puts the total moment at 0.00 μB per formula unit. The calculation puts the total energy at -4.64 eV per atom.

=====

No. 3
Compound: AlSnPt3
Source: the Alexandria database
Functional: GGA-PBE
Structure: optimized geometry

It has space group Pm-3m (No. 221), with a = 4.940 Å, b = 4.940 Å, c = 4.940 Å, α = 90.00°, β = 90.00° and γ = 90.00°. The distinct sites, in fractional coordinates, are Al at (0.000, 0.000, 0.000), Sn at (0.500, 0.500, 0.500) and Pt at (0.000, 0.500, 0.500).

For the formation energy from the elements, the calculation gives 81 kJ per mole of atoms. The density of states at the Fermi level is 4.8 states/eV per cell. As for the energy relative to the lowest polymorph listed for this composition: 728.9 meV/atom. The calculation puts the total moment at 0.00 μB per formula unit. The calculation puts the total energy at -4.33 eV per atom.